(1)
Here is a relaxed structure of CuRh2Se from the Alexandria database. Energies are from PBE.

Calculated values
Space-group type: No. 123
Formation energy without anion corrections (meV/atom): 84.6

Lattice parameters (Å, degrees): 4.3551 4.3551 3.0385 90.00 90.00 90.00
Element x y z (fractional)
Cu 0.0000 0.0000 0.0000
Rh 0.0000 0.5000 0.5000
Rh 0.5000 0.0000 0.5000
Se 0.5000 0.5000 0.0000

---

(2)
Here is a relaxed structure of CuRh3Se from the Alexandria database. Energies are from PBE.

Calculated values
Energy above the lowest structure with this stoichiometry (meV/atom): 0
Space-group type: No. 221
Formation energy without anion corrections (meV/atom): 664.7

Lattice parameters (Å, degrees): 4.5327 4.5327 4.5327 90.00 90.00 90.00
Element x y z (fractional)
Cu 0.0000 0.0000 0.0000
Rh 0.0000 0.5000 0.5000
Rh 0.5000 0.0000 0.5000
Rh 0.5000 0.5000 0.0000
Se 0.5000 0.5000 0.5000

---

(3)
Here is a relaxed structure of CuRh3Se from the Alexandria database. Energies are from PBE.

Calculated values
Energy above the lowest structure with this stoichiometry (meV/atom): 528
Space-group type: No. 221
Formation energy without anion corrections (meV/atom): 1192.5

Lattice parameters (Å, degrees): 4.5243 4.5243 4.5243 90.00 90.00 90.00
Element x y z (fractional)
Cu 0.0000 0.0000 0.0000
Rh 0.0000 0.0000 0.5000
Rh 0.0000 0.5000 0.0000
Rh 0.5000 0.0000 0.0000
Se 0.5000 0.5000 0.5000